14
Lattice="6.8995 0.0000 0.0000 0.0000 6.8995 0.0000 0.0000 0.0000 6.8995" Properties=species:S:1:pos:R:3 comment="PBE CsCu3Se3, optimized geometry" dos_at_fermi_per_ev_cell=10.7 total_energy_ev_per_cell=-53.48 raw_formation_energy_ev_per_atom=-0.4495 volume_a3_per_atom=23.459 crystal_system=cubic pbc="T T T"
Cs 0.0000 0.0000 0.0000
Cs 3.4497 3.4497 3.4497
Cu 0.0000 1.7249 3.4497
Cu 0.0000 5.1746 3.4497
Cu 1.7249 3.4497 0.0000
Cu 3.4497 0.0000 1.7249
Cu 3.4497 0.0000 5.1746
Cu 5.1746 3.4497 0.0000
Se 0.0000 3.4497 1.7249
Se 0.0000 3.4497 5.1746
Se 1.7249 0.0000 3.4497
Se 3.4497 1.7249 0.0000
Se 3.4497 5.1746 0.0000
Se 5.1746 0.0000 3.4497